1.
! CrFePb2 (PBE, optimized geometry); values from VASP
&SYSTEM
  ibrav = 0, nat = 4, ntyp = 3
/
ATOMIC_SPECIES
Cr 52.00 Cr.upf
Fe 55.84 Fe.upf
Pb 207.20 Pb.upf
ATOMIC_POSITIONS crystal
Cr 0.5000 0.5000 0.0000
Fe 0.7500 0.2500 0.5000
Pb 0.2500 0.7500 0.5000
Pb 0.0000 0.0000 0.0000
CELL_PARAMETERS angstrom
5.7569 -0.0169 0.0000
2.8244 5.0165 0.0000
-4.2906 -2.4998 2.9127
! density of states at the Fermi level = 1.109 states/eV per atom
! energy of formation = 15.91 kcal/mol of atoms
! E_tot = -5.686 eV per atom

***

2.
! CaSb2PI (PBE, optimized geometry); values from VASP
&SYSTEM
  ibrav = 0, nat = 5, ntyp = 4
/
ATOMIC_SPECIES
Ca 40.08 Ca.upf
I 126.90 I.upf
Sb 121.76 Sb.upf
P 30.97 P.upf
ATOMIC_POSITIONS crystal
Ca 0.5000 0.5000 0.5000
I 0.0000 0.0000 0.5000
Sb 0.5000 0.0000 0.0000
Sb 0.0000 0.5000 0.0000
P 0.0000 0.0000 0.0000
CELL_PARAMETERS angstrom
-3.3341 1.9281 3.6263
-4.1069 -1.5347 -2.9600
-0.0279 -4.8750 2.5663
! density of states at the Fermi level = 0.751 states/eV per atom
! formation energy from raw total energies = 46 meV/atom
! E_tot = -3.396 eV per atom

***

3.
! PmPrCoOs (PBE, optimized geometry); values from VASP
&SYSTEM
  ibrav = 0, nat = 4, ntyp = 4
/
ATOMIC_SPECIES
Co 58.93 Co.upf
Os 190.23 Os.upf
Pr 140.91 Pr.upf
Pm 145.00 Pm.upf
ATOMIC_POSITIONS crystal
Co 0.7500 0.7500 0.7500
Os 0.2500 0.2500 0.2500
Pr 0.5000 0.5000 0.5000
Pm 0.0000 0.0000 0.0000
CELL_PARAMETERS angstrom
4.9666 0.0000 0.0000
2.4833 4.3012 0.0000
2.4833 1.4337 4.0552
! density of states at the Fermi level = 1.542 states/eV per atom
! energy of formation = 2.98 kcal/mol of atoms
! E_tot = -6.837 eV per atom

***

4.
! DyEr4Tm5 (PBE, optimized geometry); values from VASP
&SYSTEM
  ibrav = 0, nat = 10, ntyp = 3
/
ATOMIC_SPECIES
Tm 168.93 Tm.upf
Er 167.26 Er.upf
Dy 162.50 Dy.upf
ATOMIC_POSITIONS crystal
Tm 0.4393 0.6106 0.7798
Tm 0.9996 0.7999 0.3995
Er 0.4984 0.8002 0.3988
Er 0.9375 0.6107 0.7797
Tm 0.2985 0.0002 0.9998
Tm 0.6601 0.3893 0.2203
Tm 0.0986 0.1997 0.6014
Er 0.1589 0.3894 0.2202
Dy 0.7997 0.9999 0.0002
Er 0.5991 0.2001 0.6004
CELL_PARAMETERS angstrom
6.4750 2.0216 1.3950
4.7996 7.0798 1.8249
-2.2046 1.3785 8.2226
! density of states at the Fermi level = 1.763 states/eV per atom
! energy of formation = 1.26 kcal/mol of atoms
! E_tot = -4.467 eV per atom

***

Results for polymorph energy (0 for the lowest one): 229.9 0.0 198.3 0.0 (in meV per atom, following the order of the records).
Results for V: 84.3 154.2 86.6 303.7 (in Å³ per cell, following the order of the records).